Entry 1:
Computed, not measured: an optimized crystal structure of Ac2DyH12Rh3 at the GGA-PBE level of DFT.

Unit cell a=6.2092 b=6.2092 c=6.2092 alpha=66.58 beta=66.58 gamma=66.58
Closest atoms and distances in Å follow each position.
Sites, in units of the cell vectors:
Rh  0.5000  0.0000  0.0000  6 H 1.70-1.79
Rh  0.0000  0.5000  0.0000  6 H 1.70-1.79
Rh  0.0000  0.0000  0.5000  6 H 1.70-1.79
H  0.3967  0.8752  0.8752  1 Rh 1.70
H  0.7135  0.7135  0.0991  2 Rh 1.79
H  0.9009  0.2865  0.2865  2 Rh 1.79
H  0.0991  0.7135  0.7135  2 Rh 1.79
H  0.8752  0.3967  0.8752  1 Rh 1.70
H  0.7135  0.0991  0.7135  2 Rh 1.79
H  0.8752  0.8752  0.3967  1 Rh 1.70
H  0.2865  0.9009  0.2865  2 Rh 1.79
H  0.1248  0.1248  0.6033  1 Rh 1.70
H  0.1248  0.6033  0.1248  1 Rh 1.70
H  0.6033  0.1248  0.1248  1 Rh 1.70
H  0.2865  0.2865  0.9009  2 Rh 1.79
Ac  0.6193  0.6193  0.6193  3 H 2.34
Ac  0.3807  0.3807  0.3807  3 H 2.34
Dy  0.0000  0.0000  0.0000  6 H 2.17

## Properties
E_tot: -82.1 eV per cell
Size of the total moment: 0.00 μB per formula unit

***

Entry 2:
Computed, not measured: an optimized crystal structure of MgTcRu2 at the GGA-PBE level of DFT.

Unit cell a=4.1022 b=2.7772 c=5.8521 alpha=61.84 beta=90.00 gamma=90.00
Closest atoms and distances in Å follow each position.
Sites, in units of the cell vectors:
Ru  0.0000  0.0239  0.9763  2 Tc 2.48-2.68, 4 Mg 2.71, 2 Ru 2.78
Ru  0.5000  0.2364  0.2650  2 Mg 2.57-2.59, 4 Tc 2.74-2.75, 2 Ru 2.78
Tc  0.0000  0.5040  0.4950  6 Ru 2.48-2.75, 2 Tc 2.78
Mg  0.5000  0.7358  0.7638  6 Ru 2.57-2.71, 2 Mg 2.78, 4 Tc 2.84

## Properties
Size of the total moment: 0.00 μB per formula unit
DFT formation energy: 63.9 kJ/mol of formula units

***

Entry 3:
Computed, not measured: an optimized crystal structure of IrOs2Pt at the GGA-PBE level of DFT.

Unit cell a=4.7614 b=4.7614 c=4.7614 alpha=131.94 beta=131.94 gamma=70.32
Closest atoms and distances in Å follow each position.
Sites, in units of the cell vectors:
Pt  0.5000  0.5000  0.0000  8 Os 2.74-2.75, 4 Ir 2.75
Ir  0.7500  0.2500  0.5000  8 Os 2.74-2.75, 4 Pt 2.75
Os  0.0000  0.0000  0.0000  4 Pt 2.74, 4 Os 2.75, 4 Ir 2.75
Os  0.2500  0.7500  0.5000  4 Ir 2.74, 4 Os 2.75, 4 Pt 2.75

## Properties
Energy above the lowest structure with this stoichiometry: 0.073 eV per atom
Size of the total moment: 0.00 μB per formula unit
DFT formation energy: 53.3 kJ/mol of formula units

***

Entry 4:
Computed, not measured: an optimized crystal structure of MgScU at the GGA-PBE level of DFT.

Unit cell a=4.9349 b=4.9368 c=6.6511 alpha=90.00 beta=90.00 gamma=119.99
Closest atoms and distances in Å follow each position.
Sites, in units of the cell vectors:
Mg  0.6666  0.3332  0.4938  3 Mg 2.85
Mg  0.3334  0.6668  0.5062  3 Mg 2.85
U  0.6670  0.3339  0.9969  3 U 2.85-2.86
U  0.3330  0.6661  0.0031  3 U 2.85-2.86
Sc  0.0000  0.0000  0.7638  2 Sc 3.14-3.51, 6 U 3.24-3.27, 6 Mg 3.32-3.37
Sc  0.0000  0.0000  0.2362  2 Sc 3.14-3.51, 6 U 3.24-3.27, 6 Mg 3.32-3.37

## Properties
Size of the total moment: 2.83 μB per formula unit
DFT formation energy: 68.8 kJ/mol of formula units

***

Entry 5:
Computed, not measured: an optimized crystal structure of MnAlV2 at the GGA-PBE level of DFT.

Unit cell a=4.1984 b=4.1984 c=4.1984 alpha=60.00 beta=60.00 gamma=60.00
Closest atoms and distances in Å follow each position.
Sites, in units of the cell vectors:
V  0.0000  0.0000  0.0000  4 V 2.57, 4 Al 2.57
V  0.7500  0.7500  0.7500  4 Mn 2.57, 4 V 2.57
Al  0.2500  0.2500  0.2500  4 Mn 2.57, 4 V 2.57
Mn  0.5000  0.5000  0.5000  4 Al 2.57, 4 V 2.57

## Properties
Size of the total moment: 2.00 μB per formula unit
DFT formation energy: -52.5 kJ/mol of formula units

***

Entry 6:
Computed, not measured: an optimized crystal structure of HfAlCrAs2 at the GGA-PBE level of DFT.

Unit cell a=4.5404 b=5.0022 c=4.5404 alpha=90.00 beta=90.00 gamma=90.00
Closest atoms and distances in Å follow each position.
Sites, in units of the cell vectors:
Cr  0.0000  0.0000  0.0000  4 As 2.27, 2 Hf 2.50
Al  0.5000  0.5000  0.5000  4 Hf 3.21, 8 As 3.38
As  0.5000  0.0000  0.0000  2 Cr 2.27
As  0.0000  0.0000  0.5000  2 Cr 2.27
Hf  0.0000  0.5000  0.0000  2 Cr 2.50

## Properties
Size of the total moment: 0.00 μB per formula unit
DFT formation energy: 183.3 kJ/mol of formula units

***

Entry 7:
Computed, not measured: an optimized crystal structure of Er5Ru2Pb2 at the GGA-PBE level of DFT.

Unit cell a=7.6508 b=7.4089 c=9.0261 alpha=90.00 beta=64.92 gamma=90.00
Closest atoms and distances in Å follow each position.
Sites, in units of the cell vectors:
Er  0.0000  0.0000  0.0000  4 Ru 2.92-2.98
Er  0.5000  0.5000  0.0000  4 Ru 2.92-2.98
Er  0.0561  0.6651  0.2292  3 Ru 2.85-2.99
Er  0.7853  0.8349  0.7708  3 Ru 2.85-2.99
Er  0.5561  0.8349  0.2292  3 Ru 2.85-2.99
Er  0.2147  0.1651  0.2292  3 Ru 2.85-2.99
Er  0.4439  0.1651  0.7708  3 Ru 2.85-2.99
Er  0.2853  0.6651  0.7708  3 Ru 2.85-2.99
Er  0.7147  0.3349  0.2292  3 Ru 2.85-2.99
Er  0.9439  0.3349  0.7708  3 Ru 2.85-2.99
Pb  0.2230  0.0000  0.5540  6 Er 3.20-3.32
Pb  0.7770  0.0000  0.4460  6 Er 3.20-3.32
Pb  0.7230  0.5000  0.5540  6 Er 3.20-3.32
Pb  0.2770  0.5000  0.4460  6 Er 3.20-3.32
Ru  0.1320  0.3701  0.0000  1 Ru 2.79, 8 Er 2.85-2.99
Ru  0.6320  0.1299  0.0000  1 Ru 2.79, 8 Er 2.85-2.99
Ru  0.8680  0.6299  0.0000  1 Ru 2.79, 8 Er 2.85-2.99
Ru  0.3680  0.8701  0.0000  1 Ru 2.79, 8 Er 2.85-2.99

## Properties
Size of the total moment: 0.00 μB per formula unit
DFT formation energy: -363.2 kJ/mol of formula units

***

Entry 8:
Computed, not measured: an optimized crystal structure of Li2Fe2Ag at the GGA-PBE level of DFT.

Unit cell a=7.2662 b=7.2662 c=2.6560 alpha=90.00 beta=90.00 gamma=90.00
Closest atoms and distances in Å follow each position.
Sites, in units of the cell vectors:
Li  0.6812  0.1812  0.0000  6 Fe 2.51-2.56, 2 Li 2.66, 2 Ag 2.66
Li  0.8188  0.6812  0.0000  6 Fe 2.51-2.56, 2 Li 2.66, 2 Ag 2.66
Li  0.1812  0.3188  0.0000  6 Fe 2.51-2.56, 2 Li 2.66, 2 Ag 2.66
Li  0.3188  0.8188  0.0000  6 Fe 2.51-2.56, 2 Li 2.66, 2 Ag 2.66
Ag  0.0000  0.0000  0.0000  2 Ag 2.66, 4 Li 2.66
Ag  0.5000  0.5000  0.0000  2 Ag 2.66, 4 Li 2.66
Fe  0.8884  0.3884  0.5000  1 Fe 2.29, 6 Li 2.51-2.56
Fe  0.1116  0.6116  0.5000  1 Fe 2.29, 6 Li 2.51-2.56
Fe  0.3884  0.1116  0.5000  1 Fe 2.29, 6 Li 2.51-2.56
Fe  0.6116  0.8884  0.5000  1 Fe 2.29, 6 Li 2.51-2.56

## Properties
Energy above the lowest structure with this stoichiometry: 0.078 eV per atom
Size of the total moment: 5.21 μB per formula unit
DFT formation energy: 199.8 kJ/mol of formula units

***

Number 1: DOS at the Fermi energy 5.87 states/eV per cell. Number 2: DOS at the Fermi energy 3.27 states/eV per cell. Number 3: DOS at the Fermi energy 4.81 states/eV per cell. Number 4: DOS at the Fermi energy 12.80 states/eV per cell. Number 5: DOS at the Fermi energy 3.15 states/eV per cell. Number 6: DOS at the Fermi energy 4.97 states/eV per cell. Number 7: DOS at the Fermi energy 14.20 states/eV per cell. Number 8: DOS at the Fermi energy 8.14 states/eV per cell.